First-principles (GGA-PBEsol) data for an optimized crystal structure of LiSiPt2, as listed in Alexandria via LeMat-Bulk.

Values from the calculation:
N(E_F)	1.3	states/eV/cell
total moment	0.00	μB per formula unit
formation energy (no corrections)	-0.625	eV/atom
crystal system	orthorhombic

Lattice parameters (Å, degrees): 3.417 3.743 4.878 112.56 110.50 90.00
Fractional positions:
Li 0.245 0.745 0.489
Pt 0.006 0.006 0.012
Pt 0.763 0.263 0.525
Si 0.487 0.487 0.974


First-principles (GGA-PBEsol) data for an optimized crystal structure of LiSiPt, as listed in Alexandria via LeMat-Bulk.

Values from the calculation:
N(E_F)	0.8	states/eV/cell
total moment	0.00	μB per formula unit
formation energy (no corrections)	-0.633	eV/atom
crystal system	tetragonal

Lattice parameters (Å, degrees): 3.137 3.137 4.503 110.39 110.39 90.00
Fractional positions:
Si 0.329 0.329 0.658
Pt 0.672 0.672 0.343
Li 0.999 0.999 0.998


First-principles (GGA-PBEsol) data for an optimized crystal structure of LiSiPt2, as listed in Alexandria via LeMat-Bulk.

Values from the calculation:
N(E_F)	2.1	states/eV/cell
total moment	0.00	μB per formula unit
formation energy (no corrections)	-0.334	eV/atom
crystal system	tetragonal

Lattice parameters (Å, degrees): 2.788 2.788 7.478 90.00 90.00 90.00
Fractional positions:
Li 0.500 0.500 0.754
Pt 0.000 0.000 0.997
Pt 0.500 0.500 0.272
Si 0.000 0.000 0.478


First-principles (GGA-PBEsol) data for an optimized crystal structure of LiSiPt2, as listed in Alexandria via LeMat-Bulk.

Values from the calculation:
N(E_F)	1.2	states/eV/cell
total moment	0.00	μB per formula unit
formation energy (no corrections)	-0.686	eV/atom
crystal system	monoclinic

Lattice parameters (Å, degrees): 2.816 4.305 4.688 103.71 107.48 90.00
Fractional positions:
Si 0.503 0.564 0.006
Pt 0.006 0.069 0.012
Pt 0.238 0.675 0.477
Li 0.752 0.192 0.505


First-principles (GGA-PBEsol) data for an optimized crystal structure of LiSi2Pt2, as listed in Alexandria via LeMat-Bulk.

Values from the calculation:
N(E_F)	1.5	states/eV/cell
total moment	0.00	μB per formula unit
formation energy (no corrections)	-0.653	eV/atom
crystal system	tetragonal

Lattice parameters (Å, degrees): 3.995 3.995 5.748 110.34 110.34 90.00
Fractional positions:
Si 0.386 0.386 0.771
Si 0.614 0.614 0.229
Pt 0.250 0.750 0.500
Pt 0.750 0.250 0.500
Li 0.000 0.000 0.000


First-principles (GGA-PBEsol) data for an optimized crystal structure of SrLi2Pt, as listed in Alexandria via LeMat-Bulk.

Values from the calculation:
energy of formation from the pure elements	-0.18	eV/atom
N(E_F)	1.4	states/eV/cell
energy relative to the lowest polymorph listed for this composition	234	meV/atom
total moment	0.00	μB per formula unit
crystal system	orthorhombic

Lattice parameters (Å, degrees): 3.157 3.987 6.126 90.00 90.00 90.00
Fractional positions:
Li 0.000 0.000 0.824
Li 0.000 0.000 0.176
Pt 0.500 0.500 0.000
Sr 0.500 0.500 0.500


First-principles (GGA-PBEsol) data for an optimized crystal structure of SrLi2Pt, as listed in Alexandria via LeMat-Bulk.

Values from the calculation:
energy of formation from the pure elements	-0.33	eV/atom
N(E_F)	1.5	states/eV/cell
energy relative to the lowest polymorph listed for this composition	76	meV/atom
total moment	0.00	μB per formula unit
crystal system	monoclinic

Lattice parameters (Å, degrees): 3.936 4.029 6.374 90.00 109.02 90.00
Fractional positions:
Sr 0.275 0.500 0.659
Pt 0.669 0.000 0.457
Li 0.017 0.000 0.168
Li 0.539 0.500 0.215


First-principles (GGA-PBEsol) data for an optimized crystal structure of Sr2LiPt2, as listed in Alexandria via LeMat-Bulk.

Values from the calculation:
energy of formation from the pure elements	-0.54	eV/atom
N(E_F)	3.4	states/eV/cell
energy relative to the lowest polymorph listed for this composition	0	meV/atom
total moment	0.00	μB per formula unit
crystal system	tetragonal

Lattice parameters (Å, degrees): 4.242 7.610 7.610 90.00 90.00 90.00
Fractional positions:
Sr 0.500 0.171 0.671
Sr 0.500 0.671 0.829
Sr 0.500 0.829 0.329
Sr 0.500 0.329 0.171
Pt 0.000 0.375 0.875
Pt 0.000 0.875 0.625
Pt 0.000 0.625 0.125
Pt 0.000 0.125 0.375
Li 0.000 0.000 0.000
Li 0.000 0.500 0.500


First-principles (GGA-PBEsol) data for an optimized crystal structure of SrLiPt, as listed in Alexandria via LeMat-Bulk.

Values from the calculation:
energy of formation from the pure elements	-0.47	eV/atom
N(E_F)	1.3	states/eV/cell
energy relative to the lowest polymorph listed for this composition	0	meV/atom
total moment	0.00	μB per formula unit
crystal system	hexagonal

Lattice parameters (Å, degrees): 4.107 4.346 4.346 120.00 90.00 90.00
Fractional positions:
Sr 0.500 0.333 0.667
Pt 0.000 0.667 0.333
Li 0.000 0.000 0.000


First-principles (GGA-PBEsol) data for an optimized crystal structure of Sr3LiPt, as listed in Alexandria via LeMat-Bulk.

Values from the calculation:
energy of formation from the pure elements	-0.34	eV/atom
N(E_F)	2.4	states/eV/cell
total moment	0.00	μB per formula unit
crystal system	cubic

Lattice parameters (Å, degrees): 5.868 5.868 5.868 90.00 90.00 90.00
Fractional positions:
Sr 0.000 0.500 0.000
Sr 0.000 0.000 0.500
Sr 0.500 0.000 0.000
Pt 0.000 0.000 0.000
Li 0.500 0.500 0.500


First-principles (GGA-PBEsol) data for an optimized crystal structure of SrLi2Pt, as listed in Alexandria via LeMat-Bulk.

Values from the calculation:
energy of formation from the pure elements	-0.41	eV/atom
N(E_F)	1.1	states/eV/cell
energy relative to the lowest polymorph listed for this composition	0	meV/atom
total moment	0.00	μB per formula unit
crystal system	trigonal

Lattice parameters (Å, degrees): 4.395 4.395 5.781 67.66 67.66 60.00
Fractional positions:
Sr 0.760 0.760 0.719
Pt 0.556 0.556 0.332
Li 0.951 0.951 0.147
Li 0.241 0.241 0.278


First-principles (GGA-PBEsol) data for an optimized crystal structure of Sr2LiPt2, as listed in Alexandria via LeMat-Bulk.

Values from the calculation:
energy of formation from the pure elements	-0.38	eV/atom
N(E_F)	1.5	states/eV/cell
energy relative to the lowest polymorph listed for this composition	165	meV/atom
total moment	0.00	μB per formula unit
crystal system	tetragonal

Lattice parameters (Å, degrees): 5.693 5.693 5.693 92.37 118.64 118.64
Fractional positions:
Li 0.000 0.000 0.000
Pt 0.000 0.334 0.334
Pt 0.000 0.666 0.666
Sr 0.500 0.750 0.250
Sr 0.500 0.250 0.750